[1]
DFT (GGA-PBE) results for an optimized crystal structure of Tb5Y4Ho.

a b c (Å): 10.580 10.580 5.921
angles (deg): 90.00 90.00 90.00
Space group I4mm (No. 107)
Symmetry-distinct sites (fractional):
1 Tb 0.000 0.000 0.000 [2 per cell]
2 Tb 0.188 0.188 0.264 [8 per cell]
3 Y 0.000 0.322 0.763 [8 per cell]
4 Ho 0.000 0.000 0.530 [2 per cell]

Properties
- ρ (g/cm3) = 6.6
- crystal system = tetragonal
- polymorph energy (0 for the lowest one) (meV/atom) = 192
- calculated formation energy (eV per atom) = 0.2501
- spin magnetization (μB/f.u.) = 0.00



[2]
DFT (GGA-PBE) results for an optimized crystal structure of Tb10YHo4.

a b c (Å): 12.148 12.148 7.682
angles (deg): 90.00 90.00 90.00
Space group I4/m (No. 87)
Symmetry-distinct sites (fractional):
1 Tb 0.000 0.500 0.250 [4 per cell]
2 Tb 0.100 0.201 0.249 [16 per cell]
3 Y 0.000 0.000 0.500 [2 per cell]
4 Ho 0.100 0.700 0.000 [8 per cell]

Properties
- ρ (g/cm3) = 6.8
- crystal system = tetragonal
- calculated formation energy (eV per atom) = 0.7283
- spin magnetization (μB/f.u.) = 0.00



[3]
DFT (GGA-PBE) results for an optimized crystal structure of Tb8Y5Ho.

a b c (Å): 9.588 9.588 10.126
angles (deg): 90.00 90.00 90.00
Space group I-4 (No. 82)
Symmetry-distinct sites (fractional):
1 Tb 0.069 0.174 0.346 [8 per cell]
2 Tb 0.091 0.325 0.002 [8 per cell]
3 Y 0.000 0.500 0.250 [2 per cell]
4 Y 0.112 0.292 0.674 [8 per cell]
5 Ho 0.000 0.000 0.000 [2 per cell]

Properties
- ρ (g/cm3) = 6.7
- crystal system = tetragonal
- calculated formation energy (eV per atom) = 0.2630
- spin magnetization (μB/f.u.) = 0.00



[4]
DFT (GGA-PBE) results for an optimized crystal structure of Tb7YHo5.

a b c (Å): 6.643 11.205 11.507
angles (deg): 90.00 90.00 90.00
Space group Imm2 (No. 44)
Symmetry-distinct sites (fractional):
1 Tb 0.000 0.000 0.000 [2 per cell]
2 Tb 0.000 0.000 0.305 [2 per cell]
3 Tb 0.000 0.327 0.246 [4 per cell]
4 Tb 0.000 0.330 0.745 [4 per cell]
5 Tb 0.000 0.500 0.998 [2 per cell]
6 Y 0.000 0.000 0.691 [2 per cell]
7 Ho 0.000 0.500 0.493 [2 per cell]
8 Ho 0.234 0.229 0.497 [8 per cell]

Properties
- ρ (g/cm3) = 7.9
- crystal system = orthorhombic
- polymorph energy (0 for the lowest one) (meV/atom) = 2
- calculated formation energy (eV per atom) = 0.2490
- spin magnetization (μB/f.u.) = 0.01



[5]
DFT (GGA-PBE) results for an optimized crystal structure of Tb6Y2Ho.

a b c (Å): 3.562 8.711 9.414
angles (deg): 89.99 79.16 89.92
Space group P-1 (No. 2)
Symmetry-distinct sites (fractional):
1 Tb 0.112 0.332 0.277 [2 per cell]
2 Tb 0.222 0.666 0.055 [2 per cell]
3 Tb 0.333 0.000 0.833 [2 per cell]
4 Y 0.444 0.333 0.611 [2 per cell]
5 Ho 0.000 0.000 0.500 [1 per cell]

Properties
- ρ (g/cm3) = 7.5
- crystal system = triclinic
- polymorph energy (0 for the lowest one) (meV/atom) = 0
- calculated formation energy (eV per atom) = 0.0171
- spin magnetization (μB/f.u.) = 0.00



[6]
DFT (GGA-PBE) results for an optimized crystal structure of Tb6YHo12.

a b c (Å): 15.1761 15.1761 9.7469
angles (deg): 90.00 90.00 120.00
Space group R-3m (No. 166, hexagonal axes)
Symmetry-distinct sites (fractional):
1 Tb 0.0480 0.5240 0.2015 [18 per cell]
2 Y 0.0000 0.0000 0.0000 [3 per cell]
3 Ho 0.0000 0.3909 0.5000 [18 per cell]
4 Ho 0.0704 0.1407 0.2956 [18 per cell]

Properties
- ρ (g/cm3) = 7.7
- crystal system = trigonal
- polymorph energy (0 for the lowest one) (meV/atom) = 291
- calculated formation energy (eV per atom) = 0.4502
- spin magnetization (μB/f.u.) = 0.00



[7]
DFT (GGA-PBE) results for an optimized crystal structure of Tb7Y3Ho2.

a b c (Å): 5.787 3.583 18.667
angles (deg): 90.00 93.53 90.00
Space group P2/m (No. 10)
Symmetry-distinct sites (fractional):
1 Tb 0.000 0.000 0.000 [1 per cell]
2 Tb 0.184 0.500 0.179 [2 per cell]
3 Tb 0.258 0.500 0.536 [2 per cell]
4 Tb 0.317 0.000 0.855 [2 per cell]
5 Y 0.219 0.000 0.367 [2 per cell]
6 Y 0.500 0.500 0.000 [1 per cell]
7 Ho 0.293 0.500 0.705 [2 per cell]

Properties
- ρ (g/cm3) = 7.3
- crystal system = monoclinic
- polymorph energy (0 for the lowest one) (meV/atom) = 0
- calculated formation energy (eV per atom) = 0.0852
- spin magnetization (μB/f.u.) = 0.00



[8]
DFT (GGA-PBE) results for an optimized crystal structure of Tb6Y2Ho3.

a b c (Å): 3.5547 3.5547 95.4589
angles (deg): 90.00 90.00 120.00
Space group R-3m (No. 166, hexagonal axes)
Symmetry-distinct sites (fractional):
1 Tb 0.0000 0.0000 0.0905 [6 per cell]
2 Tb 0.0000 0.0000 0.1819 [6 per cell]
3 Tb 0.0000 0.0000 0.3635 [6 per cell]
4 Y 0.0000 0.0000 0.4543 [6 per cell]
5 Ho 0.0000 0.0000 0.0000 [3 per cell]
6 Ho 0.0000 0.0000 0.2730 [6 per cell]

Properties
- ρ (g/cm3) = 7.8
- crystal system = trigonal
- polymorph energy (0 for the lowest one) (meV/atom) = 0
- calculated formation energy (eV per atom) = 0.0182
- spin magnetization (μB/f.u.) = 0.00